SiRu2RhSe GGA-PBEsol relaxed; space group = P4/mmm, No. 123; crystal system = tetragonal; N(E_F) = 6.553 states/eV/f.u.; ρ = 8.23 Mg/m³; formation energy from raw total energies = 809 meV/atom
1.0
4.3830 0.0000 0.0000
0.0000 4.3830 0.0000
0.0000 0.0000 4.3281
Si Ru Rh Se
1 2 1 1
Cartesian
0.0000 0.0000 0.0000
0.0000 2.1915 0.0000
2.1915 0.0000 0.0000
0.0000 0.0000 2.1641
2.1915 2.1915 2.1641